Compound: VTcHgO6
Source: Alexandria
Functional: GGA+U
Structure: optimized geometry

a = 5.165 Å, b = 5.165 Å, c = 4.988 Å
α = 90.00°, β = 90.00°, γ = 120.00°
Element x y z (fractional)
V (0.000, 0.000, 0.000)
Tc (0.667, 0.333, 0.062)
Hg (0.333, 0.667, 0.528)
O (0.326, 0.283, 0.251)
O (0.329, 0.038, 0.825)
O (0.709, 0.671, 0.825)
O (0.717, 0.043, 0.251)
O (0.957, 0.674, 0.251)
O (0.962, 0.291, 0.825)

Calculated values
**Electronic total energy**: -58.93 eV/cell